# Tb4In2Ag

Tb4In2Ag after structural relaxation (GGA-PBE, Alexandria).

symmetry: P2_1/m
ΔE_f: -0.209 eV per atom
crystal system: monoclinic
E above lowest polymorph: 57 meV per atom
DFT total energy: -4.0448 eV per atom

Unit cell a=7.0794 b=6.6445 c=9.0491 alpha=90.00 beta=109.19 gamma=90.00
Last column: nearest neighbours and their distance in Å.
Fractional positions:
Tb 0.0865 0.2500 0.0483  1 Ag 2.94, 1 In 3.29
Tb 0.1719 0.0087 0.7215  1 Ag 2.93, 2 In 3.15-3.17, 1 Tb 3.21
Tb 0.1719 0.4913 0.7215  1 Ag 2.93, 2 In 3.15-3.17, 1 Tb 3.21
Tb 0.3233 0.7500 0.3496  1 Ag 3.20, 4 In 3.21-3.54
Tb 0.6767 0.2500 0.6504  1 Ag 3.20, 4 In 3.21-3.54
Tb 0.8281 0.5087 0.2785  1 Ag 2.93, 2 In 3.15-3.17, 1 Tb 3.21
Tb 0.8281 0.9913 0.2785  1 Ag 2.93, 2 In 3.15-3.17, 1 Tb 3.21
Tb 0.9135 0.7500 0.9517  1 Ag 2.94, 1 In 3.29
In 0.2163 0.2500 0.4323  1 Ag 2.75
In 0.4354 0.7500 0.0312  1 Ag 3.00, 5 Tb 3.23-3.35
In 0.5646 0.2500 0.9688  1 Ag 3.00, 5 Tb 3.23-3.35
In 0.7837 0.7500 0.5677  1 Ag 2.75
Ag 0.4922 0.2500 0.2773  2 In 2.75-3.00, 3 Tb 2.93-2.94
Ag 0.5078 0.7500 0.7227  2 In 2.75-3.00, 3 Tb 2.93-2.94

***

# LiCo

LiCo after structural relaxation (GGA-PBE, Alexandria).

symmetry: I4/mmm
ΔE_f: 0.329 eV per atom
crystal system: tetragonal
DFT total energy: -4.1804 eV per atom

Unit cell a=5.4252 b=5.4252 c=5.4252 alpha=98.47 beta=98.47 gamma=134.86
Last column: nearest neighbours and their distance in Å.
Fractional positions:
Li 0.0000 0.2921 0.2921  6 Co 2.43-2.55
Li 0.0000 0.7079 0.7079  6 Co 2.43-2.55
Li 0.2921 0.0000 0.2921  6 Co 2.43-2.55
Li 0.7079 0.0000 0.7079  6 Co 2.43-2.55
Co 0.3400 0.3400 0.6799  2 Co 2.27, 2 Li 2.43
Co 0.3400 0.6600 0.0000  2 Co 2.27, 2 Li 2.43
Co 0.6600 0.3400 0.0000  2 Co 2.27, 2 Li 2.43
Co 0.6600 0.6600 0.3201  2 Co 2.27, 2 Li 2.43

***

# Tm5Ni2Bi

Tm5Ni2Bi after structural relaxation (GGA-PBE, Alexandria).

symmetry: I4/mcm
ΔE_f: -0.475 eV per atom
crystal system: tetragonal
DFT total energy: -5.2006 eV per atom

Unit cell a=8.6017 b=8.6017 c=8.6017 alpha=127.78 beta=127.78 gamma=76.98
Last column: nearest neighbours and their distance in Å.
Fractional positions:
Tm 0.0000 0.0000 0.0000  4 Ni 2.96
Tm 0.0232 0.5232 0.8124  3 Ni 2.83-2.89
Tm 0.2108 0.0232 0.5000  3 Ni 2.83-2.89
Tm 0.2892 0.7892 0.8124  3 Ni 2.83-2.89
Tm 0.4768 0.2892 0.5000  3 Ni 2.83-2.89
Tm 0.5000 0.5000 0.0000  4 Ni 2.96
Tm 0.5232 0.7108 0.5000  3 Ni 2.83-2.89
Tm 0.7108 0.2108 0.1876  3 Ni 2.83-2.89
Tm 0.7892 0.9768 0.5000  3 Ni 2.83-2.89
Tm 0.9768 0.4768 0.1876  3 Ni 2.83-2.89
Ni 0.1323 0.3677 0.5000  8 Tm 2.83-2.96, 1 Ni 2.83
Ni 0.3677 0.8677 0.2354  8 Tm 2.83-2.96, 1 Ni 2.83
Ni 0.6323 0.1323 0.7646  8 Tm 2.83-2.96, 1 Ni 2.83
Ni 0.8677 0.6323 0.5000  8 Tm 2.83-2.96, 1 Ni 2.83
Bi 0.2500 0.2500 0.0000  10 Tm 3.26-3.37
Bi 0.7500 0.7500 0.0000  10 Tm 3.26-3.37

***

# BaRe2Os

BaRe2Os after structural relaxation (GGA-PBE, Alexandria).

symmetry: Cm
ΔE_f: 0.832 eV per atom
crystal system: monoclinic
E above lowest polymorph: 27 meV per atom
DFT total energy: -8.6801 eV per atom

Unit cell a=4.8162 b=4.8162 c=6.7099 alpha=101.75 beta=101.75 gamma=36.94
Last column: nearest neighbours and their distance in Å.
Fractional positions:
Ba 0.0000 0.0000 0.0000  2 Ba 3.05, 2 Os 3.40
Re 0.5051 0.5051 0.5008  2 Re 2.51, 2 Os 2.55
Re 0.7868 0.7868 0.3737  2 Re 2.51, 2 Os 2.56
Os 0.2249 0.2249 0.6515  4 Re 2.55-2.56

***

# LiCdBr2

LiCdBr2 after structural relaxation (GGA-PBE, Alexandria).

symmetry: I-42d
uncorrected formation energy: -852 meV/atom
crystal system: tetragonal
E above lowest polymorph: 9 meV per atom
DFT total energy: -2.3954 eV per atom

Unit cell a=7.7367 b=7.7367 c=7.7367 alpha=130.72 beta=130.72 gamma=72.26
Last column: nearest neighbours and their distance in Å.
Fractional positions:
Li 0.0000 0.0000 0.0000  4 Br 2.59
Li 0.7500 0.2500 0.5000  4 Br 2.59
Cd 0.2500 0.7500 0.5000  4 Br 2.97
Cd 0.5000 0.5000 0.0000  4 Br 2.97
Br 0.0737 0.6250 0.9487  2 Li 2.59
Br 0.3750 0.3237 0.4487  2 Li 2.59
Br 0.6763 0.1250 0.0513  2 Li 2.59
Br 0.8750 0.9263 0.5513  2 Li 2.59

***

# Rb3UAg2Se6

Rb3UAg2Se6 after structural relaxation (GGA-PBE, Alexandria).

symmetry: C2/m
uncorrected formation energy: -793 meV/atom
crystal system: monoclinic
DFT total energy: -4.1929 eV per atom

Unit cell a=8.0876 b=8.0876 c=8.1005 alpha=97.29 beta=97.29 gamma=130.17
Last column: nearest neighbours and their distance in Å.
Fractional positions:
Rb 0.0000 0.0000 0.0000  6 Se 3.33
Rb 0.3160 0.6840 0.0000  6 Se 3.43-3.73
Rb 0.6840 0.3160 0.0000  6 Se 3.43-3.73
U 0.5000 0.5000 0.5000  6 Se 2.71-2.74
Ag 0.1030 0.8970 0.5000  4 Se 2.63-2.81
Ag 0.8970 0.1030 0.5000  4 Se 2.63-2.81
Se 0.1170 0.3915 0.3200  1 Ag 2.63, 1 U 2.74
Se 0.3000 0.3000 0.7431  1 U 2.71, 2 Ag 2.81
Se 0.3915 0.1170 0.3200  1 Ag 2.63, 1 U 2.74
Se 0.6085 0.8830 0.6800  1 Ag 2.63, 1 U 2.74
Se 0.7000 0.7000 0.2569  1 U 2.71, 2 Ag 2.81
Se 0.8830 0.6085 0.6800  1 Ag 2.63, 1 U 2.74